# Th4InBi3 | the Alexandria database | PBE | optimized geometry
data_Th4InBi3
_cell_length_a 4.131
_cell_length_b 4.131
_cell_length_c 14.177
_cell_angle_alpha 90.00
_cell_angle_beta 90.00
_cell_angle_gamma 90.00
_space_group_name_H-M_alt 'P 1'
_space_group_IT_number 1
loop_
_space_group_symop_operation_xyz
'x,y,z'
loop_
_atom_site_label
_atom_site_fract_x
_atom_site_fract_y
_atom_site_fract_z
Th1 0.000 0.000 0.116
Th2 0.000 0.000 0.371
Th3 0.000 0.000 0.629
Th4 0.000 0.000 0.884
In1 0.500 0.500 0.000
Bi1 0.500 0.500 0.239
Bi2 0.500 0.500 0.500
Bi3 0.500 0.500 0.761
# space-group type = P4/mmm (123)

# ThInBi | the Alexandria database | PBE | optimized geometry
data_ThInBi
_cell_length_a 4.550
_cell_length_b 4.550
_cell_length_c 8.935
_cell_angle_alpha 90.00
_cell_angle_beta 90.00
_cell_angle_gamma 90.00
_space_group_name_H-M_alt 'P 1'
_space_group_IT_number 1
loop_
_space_group_symop_operation_xyz
'x,y,z'
loop_
_atom_site_label
_atom_site_fract_x
_atom_site_fract_y
_atom_site_fract_z
Th1 0.250 0.250 0.203
Th2 0.750 0.750 0.797
In1 0.250 0.750 0.500
In2 0.750 0.250 0.500
Bi1 0.250 0.250 0.833
Bi2 0.750 0.750 0.167
# space-group type = P4/nmm (129)
# energy above the most stable polymorph in this dataset = 0.0 meV/atom

# Th2InBi | the Alexandria database | PBE | optimized geometry
data_Th2InBi
_cell_length_a 5.130
_cell_length_b 5.130
_cell_length_c 4.523
_cell_angle_alpha 90.00
_cell_angle_beta 90.00
_cell_angle_gamma 90.00
_space_group_name_H-M_alt 'P 1'
_space_group_IT_number 1
loop_
_space_group_symop_operation_xyz
'x,y,z'
loop_
_atom_site_label
_atom_site_fract_x
_atom_site_fract_y
_atom_site_fract_z
Th1 0.000 0.500 0.000
Th2 0.500 0.000 0.000
In1 0.000 0.000 0.500
Bi1 0.500 0.500 0.500
# space-group type = P4/mmm (123)
# energy above the most stable polymorph in this dataset = 0.0 meV/atom

# ThIn2Bi2 | the Alexandria database | PBE | optimized geometry
data_ThIn2Bi2
_cell_length_a 4.217
_cell_length_b 4.217
_cell_length_c 8.986
_cell_angle_alpha 103.38
_cell_angle_beta 103.38
_cell_angle_gamma 89.90
_space_group_name_H-M_alt 'P 1'
_space_group_IT_number 1
loop_
_space_group_symop_operation_xyz
'x,y,z'
loop_
_atom_site_label
_atom_site_fract_x
_atom_site_fract_y
_atom_site_fract_z
Th1 0.000 0.000 0.000
In1 0.199 0.199 0.400
In2 0.801 0.801 0.600
Bi1 0.404 0.404 0.805
Bi2 0.596 0.596 0.195
# space-group type = C2/m (12)

no.,total magnetization (Bohr magnetons per cell),density (g/cm³),calculated formation energy (meV per atom)
1,0.00,11.5,-457
2,0.00,10.0,-371
3,0.00,11.0,-346
4,0.00,9.7,-248